HfCrFe2O6: optimized geometry, PBE+U.

Structure (POSCAR):
```
HfCrFe2O6
1.0
5.247 0.000 0.000
2.618 4.549 0.000
2.605 -1.498 4.687
Hf Cr Fe O
1 1 2 6
Direct
0.000 0.000 0.000
0.994 0.504 0.508
0.585 0.207 0.623
0.585 0.708 0.123
0.083 0.618 0.796
0.122 0.775 0.289
0.485 0.106 0.293
0.502 0.882 0.792
0.812 0.410 0.291
0.820 0.297 0.793
```

E_tot   -8.013 eV per atom